1.
A plane-wave DFT calculation with PBEsol was carried out for a relaxed Al4TeP crystal.

Results
Energy relative to the elements, uncorrected, eV/f.u.: 2.1
Fermi-level density of states, states/eV/f.u.: 2.3
Total magnetization, μB per cell: 0.00
DFT total energy, eV per atom: -3.939
V, Å³/atom: 18.6
Crystal system: cubic
Mass density, g cm⁻³: 3.98

Cell: 5.3995 5.3995 5.3995 Å, 60.00 60.00 60.00°
Element x y z (fractional)
P 0.7500 0.7500 0.7500
Te 0.0000 0.0000 0.0000
Al 0.3756 0.3756 0.3756
Al 0.3756 0.3756 0.8733
Al 0.8733 0.3756 0.3756
Al 0.3756 0.8733 0.3756

2.
A plane-wave DFT calculation with PBEsol was carried out for a relaxed BaMg crystal.

Results
Fermi-level density of states, states/eV/f.u.: 2.4
Total magnetization, μB per cell: 0.00
DFT total energy, eV per atom: -1.916
V, Å³/atom: 40.9
Crystal system: orthorhombic
Mass density, g cm⁻³: 3.28
E_form, eV/atom: 0.017

Cell: 7.1646 10.8567 12.6059 Å, 90.00 90.00 90.00°
Element x y z (fractional)
Ba 0.7500 0.8712 0.1865
Ba 0.2500 0.1288 0.8135
Ba 0.7500 0.3712 0.8135
Ba 0.2500 0.6288 0.1865
Ba 0.7500 0.4678 0.3710
Ba 0.2500 0.5322 0.6290
Ba 0.7500 0.9678 0.6290
Ba 0.2500 0.0322 0.3710
Ba 0.0000 0.2500 0.1222
Ba 0.5000 0.7500 0.8778
Ba 0.0000 0.7500 0.8778
Ba 0.5000 0.2500 0.1222
Mg 0.7500 0.5438 0.0689
Mg 0.2500 0.4562 0.9311
Mg 0.7500 0.0438 0.9311
Mg 0.2500 0.9562 0.0689
Mg 0.7500 0.1372 0.3729
Mg 0.2500 0.8628 0.6271
Mg 0.7500 0.6372 0.6271
Mg 0.2500 0.3628 0.3729
Mg 0.0000 0.2500 0.5558
Mg 0.5000 0.7500 0.4442
Mg 0.0000 0.7500 0.4442
Mg 0.5000 0.2500 0.5558

3.
A plane-wave DFT calculation with PBEsol was carried out for a relaxed YHfNO2 crystal.

Results
Energy relative to the elements, uncorrected, eV/f.u.: -5.2
Fermi-level density of states, states/eV/f.u.: 1.4
Total magnetization, μB per cell: 0.16
DFT total energy, eV per atom: -8.306
V, Å³/atom: 14.7
Crystal system: tetragonal
Mass density, g cm⁻³: 7.10

Cell: 4.0983 4.0983 4.3618 Å, 90.00 90.00 90.00°
Each line ends with the local moment (μB).
Element x y z (fractional)
Y 0.0000 0.0000 0.0000  0.05
Hf 0.5000 0.5000 0.5000  -0.05
O 0.0000 0.5000 0.0000  0.01
O 0.5000 0.0000 0.0000  0.01
N 0.0000 0.0000 0.5000  0.15

4.
A plane-wave DFT calculation with PBEsol was carried out for a relaxed LaYPd2 crystal.

Results
Fermi-level density of states, states/eV/f.u.: 2.8
Total magnetization, μB per cell: 0.00
DFT total energy, eV per atom: -6.775
V, Å³/atom: 22.2
Crystal system: cubic
Mass density, g cm⁻³: 8.23
E_form, eV/atom: -0.753

Cell: 5.0095 5.0095 5.0095 Å, 60.00 60.00 60.00°
Element x y z (fractional)
Y 0.0000 0.0000 0.0000
Pd 0.2500 0.2500 0.2500
Pd 0.7500 0.7500 0.7500
La 0.5000 0.5000 0.5000

5.
A plane-wave DFT calculation with PBEsol was carried out for a relaxed SiSe2Br crystal.

Results
Energy relative to the elements, uncorrected, eV/f.u.: 1.2
Fermi-level density of states, states/eV/f.u.: 1.1
Energy above the most stable polymorph in this dataset, eV per atom: 0.027
Total magnetization, μB per cell: 0.00
DFT total energy, eV per atom: -3.532
V, Å³/atom: 21.2
Crystal system: tetragonal
Mass density, g cm⁻³: 5.21

Cell: 3.8464 3.8483 5.7300 Å, 90.00 90.00 90.00°
Element x y z (fractional)
Si 0.5000 0.0000 0.5000
Se 0.0000 0.0000 0.0000
Se 0.5000 0.5000 0.0000
Br 0.0000 0.5000 0.5000

6.
A plane-wave DFT calculation with PBEsol was carried out for a relaxed TiTe2RuI crystal.

Results
Energy relative to the elements, uncorrected, eV/f.u.: 4.4
Fermi-level density of states, states/eV/f.u.: 6.5
Total magnetization, μB per cell: 3.32
DFT total energy, eV per atom: -4.576
V, Å³/atom: 28.9
Crystal system: tetragonal
Mass density, g cm⁻³: 6.11

Cell: 5.2036 5.2036 5.3292 Å, 90.00 90.00 90.00°
Each line ends with the local moment (μB).
Element x y z (fractional)
I 0.0000 0.0000 0.5000  0.09
Ru 0.5000 0.5000 0.5000  2.57
Te 0.0000 0.5000 0.0000  0.05
Te 0.5000 0.0000 0.0000  0.05
Ti 0.0000 0.0000 0.0000  0.11

7.
A plane-wave DFT calculation with PBEsol was carried out for a relaxed ZrBeCl2 crystal.

Results
Energy relative to the elements, uncorrected, eV/f.u.: -0.7
Fermi-level density of states, states/eV/f.u.: 1.4
Energy above the most stable polymorph in this dataset, eV per atom: 0.598
Total magnetization, μB per cell: 0.00
DFT total energy, eV per atom: -4.448
V, Å³/atom: 16.3
Crystal system: tetragonal
Mass density, g cm⁻³: 4.35

Cell: 3.5987 3.5987 5.6475 Å, 108.58 108.58 90.00°
Element x y z (fractional)
Be 0.2500 0.7500 0.5000
Zr 0.5000 0.5000 0.0000
Cl 0.0000 0.0000 0.0000
Cl 0.7500 0.2500 0.5000

8.
A plane-wave DFT calculation with PBEsol was carried out for a relaxed KScFe crystal.

Results
Fermi-level density of states, states/eV/f.u.: 3.6
Energy above the most stable polymorph in this dataset, eV per atom: 0.000
Total magnetization, μB per cell: 1.14
DFT total energy, eV per atom: -4.916
V, Å³/atom: 25.4
Crystal system: tetragonal
Mass density, g cm⁻³: 3.04
E_form, eV/atom: 0.651

Cell: 3.3389 3.3389 7.2427 Å, 103.33 103.33 90.00°
Each line ends with the local moment (μB).
Element x y z (fractional)
Fe 0.9610 0.9610 0.9220  1.79
K 0.6478 0.6478 0.2956  -0.01
Sc 0.3912 0.3912 0.7825  -0.43

9.
A plane-wave DFT calculation with PBEsol was carried out for a relaxed CuBi2Au2 crystal.

Results
Fermi-level density of states, states/eV/f.u.: 2.3
Total magnetization, μB per cell: 0.00
DFT total energy, eV per atom: -3.906
V, Å³/atom: 22.6
Crystal system: tetragonal
Mass density, g cm⁻³: 12.87
E_form, eV/atom: 0.244

Cell: 3.7188 3.7188 8.5827 Å, 102.51 102.51 90.00°
Element x y z (fractional)
Au 0.2500 0.7500 0.5000
Au 0.7500 0.2500 0.5000
Bi 0.4010 0.4010 0.8021
Bi 0.5990 0.5990 0.1979
Cu 0.0000 0.0000 0.0000

10.
A plane-wave DFT calculation with PBEsol was carried out for a relaxed YCoSe2 crystal.

Results
Energy relative to the elements, uncorrected, eV/f.u.: -3.1
Fermi-level density of states, states/eV/f.u.: 2.3
Total magnetization, μB per cell: 4.00
DFT total energy, eV per atom: -6.328
V, Å³/atom: 24.5
Crystal system: tetragonal
Mass density, g cm⁻³: 5.18

Cell: 5.6063 5.6063 7.3863 Å, 112.30 112.30 90.00°
Each line ends with the local moment (μB).
Element x y z (fractional)
Y 0.2500 0.7500 0.5000  0.05
Y 0.0000 0.0000 0.0000  0.05
Co 0.7500 0.2500 0.5000  1.72
Co 0.5000 0.5000 0.0000  1.72
Se 0.4339 0.8750 0.2500  0.07
Se 0.8161 0.3750 0.2500  0.07
Se 0.1250 0.1839 0.7500  0.07
Se 0.6250 0.5661 0.7500  0.07

11.
A plane-wave DFT calculation with PBEsol was carried out for a relaxed Sr8Ni3N8 crystal.

Results
Energy relative to the elements, uncorrected, eV/f.u.: -10.6
Fermi-level density of states, states/eV/f.u.: 11.7
Total magnetization, μB per cell: 5.65
DFT total energy, eV per atom: -5.897
V, Å³/atom: 18.0
Crystal system: monoclinic
Mass density, g cm⁻³: 4.81

Cell: 5.2663 7.3753 9.4826 Å, 104.78 106.12 90.00°
Each line ends with the local moment (μB).
Element x y z (fractional)
Sr 0.9704 0.7391 0.9408  0.04
Sr 0.0296 0.2609 0.0592  0.04
Sr 0.6704 0.4796 0.3408  0.02
Sr 0.3296 0.5204 0.6592  0.02
Sr 0.5974 0.9635 0.1947  0.03
Sr 0.4026 0.0365 0.8053  0.03
Sr 0.1999 0.8136 0.3998  0.03
Sr 0.8001 0.1864 0.6002  0.03
Ni 0.5000 0.5000 0.0000  0.96
Ni 0.8137 0.7949 0.6275  0.75
Ni 0.1863 0.2051 0.3725  0.75
N 0.8980 0.9956 0.7959  0.14
N 0.1020 0.0044 0.2041  0.14
N 0.8227 0.5611 0.6453  0.23
N 0.1773 0.4389 0.3547  0.23
N 0.7206 0.8370 0.4413  0.21
N 0.2794 0.1630 0.5587  0.21
N 0.4737 0.7116 0.9475  0.31
N 0.5263 0.2884 0.0525  0.31

12.
A plane-wave DFT calculation with PBEsol was carried out for a relaxed Fe6BMo6C crystal.

Results
Fermi-level density of states, states/eV/f.u.: 10.7
Total magnetization, μB per cell: 0.01
DFT total energy, eV per atom: -10.175
V, Å³/atom: 11.7
Crystal system: orthorhombic
Mass density, g cm⁻³: 9.44
E_form, eV/atom: -0.100

Cell: 7.7386 7.7439 7.7439 Å, 60.04 60.02 60.02°
Element x y z (fractional)
Fe 0.5000 0.0000 0.0000
Fe 0.5000 0.5000 0.5000
Fe 0.5000 0.5000 0.0000
Fe 0.0000 0.5000 0.0000
Fe 0.2983 0.6054 0.7980
Fe 0.2983 0.2980 0.1054
Fe 0.2982 0.2977 0.7977
Fe 0.6064 0.2977 0.7977
Fe 0.7017 0.3946 0.2020
Fe 0.7017 0.7020 0.8946
Fe 0.7018 0.7023 0.2023
Fe 0.3936 0.7023 0.2023
B 0.0000 0.0000 0.5000
B 0.5000 0.0000 0.5000
Mo 0.3262 0.3330 0.4187
Mo 0.9221 0.3330 0.4187
Mo 0.9231 0.3269 0.8269
Mo 0.9221 0.9187 0.8330
Mo 0.3262 0.9187 0.8330
Mo 0.3321 0.9179 0.4179
Mo 0.6738 0.6670 0.5813
Mo 0.0779 0.6670 0.5813
Mo 0.0769 0.6731 0.1731
Mo 0.0779 0.0813 0.1670
Mo 0.6738 0.0813 0.1670
Mo 0.6679 0.0821 0.5821
C 0.0000 0.5000 0.5000
C 0.0000 0.0000 0.0000